No. 1
4
Lattice="-3.2770 0.3823 -0.7091 -1.1852 -0.0328 5.4594 -0.3571 3.9557 3.7828" Properties=species:S:1:pos:R:3 comment="MnIrBr2 PBE optimized geometry" formation_energy_uncorrected_mev_per_atom=569 sg="P2/m, No. 10" rho_g_cm3=8.95 total_magnetization_mub_per_fu=4.66 e_above_lowest_polymorph_mev_per_atom=504 pbc="T T T"
Br 0.0000 0.0000 0.0000
Br -2.2311 0.1748 2.3752
Ir -2.4096 2.1526 4.2666
Mn -0.1785 1.9779 1.8914


No. 2
4
Lattice="3.0775 0.0000 0.0000 0.0000 3.0758 0.0000 0.0000 0.0000 6.0720" Properties=species:S:1:pos:R:3 comment="ScCoSi2 PBE optimized geometry" formation_energy_uncorrected_mev_per_atom=-373 sg="P4mm, No. 99" rho_g_cm3=4.62 total_magnetization_mub_per_fu=0.00 pbc="T T T"
Co 0.0000 0.0000 2.6042
Sc 1.5388 1.5379 4.5659
Si 0.0000 0.0000 0.2534
Si 1.5388 1.5379 1.6845


No. 3
11
Lattice="-4.1062 -0.8463 1.3196 0.0744 -3.1001 -5.8727 3.4679 -2.4313 5.1153" Properties=species:S:1:pos:R:3 comment="Li2FeIr8 PBE optimized geometry" sg="C2/m, No. 12" rho_g_cm3=17.19 formation_enthalpy_0k_ev_per_atom=0.286 total_magnetization_mub_per_fu=3.42 pbc="T T T"
Li 1.1148 -2.8951 -2.5041
Li 2.4276 -2.6363 1.7468
Fe -2.0531 -0.4232 0.6598
Ir -1.1072 -5.1609 -0.7370
Ir -0.3243 -5.0066 1.7979
Ir 0.8889 -3.5732 -0.0571
Ir 0.6666 -3.0020 3.3523
Ir -1.2304 -3.3758 -2.7900
Ir -1.4528 -2.8046 0.6193
Ir -0.2395 -1.3712 -1.2356
Ir 0.5433 -1.2169 1.2993


Result set for volume: 75.5 57.5 155.3 Å³/f.u., one per record in the order listed.